## V5CrGe4 (PBE-GGA)

Data for crystalline V5CrGe4 at its relaxed geometry.

The space group is Pmmn (No. 59, origin choice 2) and the conventional cell measures 7.471, 8.660 and 4.611 Å, with angles of 90.00, 90.00 and 90.00 degrees. The distinct sites, in fractional coordinates, are V at (0.085, 0.010, 0.243), V at (0.250, 0.750, 0.032), Cr at (0.250, 0.250, 0.157), Ge at (0.061, 0.750, 0.522) and Ge at (0.250, 0.057, 0.742).

The calculation puts the raw total energy at -7.33 eV per atom. The density comes out at 6.65 g/cm3.

## SrErCdPb (PBE-GGA)

Data for crystalline SrErCdPb at its relaxed geometry.

The space group is F-43m (No. 216) and the conventional cell measures 7.825, 7.825 and 7.825 Å, with angles of 90.00, 90.00 and 90.00 degrees. The distinct sites, in fractional coordinates, are Sr at (0.000, 0.000, 0.000), Er at (0.000, 0.000, 0.500), Cd at (0.250, 0.250, 0.750) and Pb at (0.250, 0.250, 0.250).

The calculation puts the raw total energy at -3.06 eV per atom. The density comes out at 7.96 g/cm3.

## Mg4H5Ru (PBE-GGA)

Data for crystalline Mg4H5Ru at its relaxed geometry.

The space group is I4 (No. 79) and the conventional cell measures 6.978, 6.978 and 4.626 Å, with angles of 90.00, 90.00 and 90.00 degrees. The distinct sites, in fractional coordinates, are Mg at (0.108, 0.685, 0.000), H at (0.000, 0.000, 0.977), H at (0.099, 0.793, 0.487) and Ru at (0.000, 0.000, 0.621).

The calculation puts the raw total energy at -3.29 eV per atom. The density comes out at 3.00 g/cm3.

## CaSc3Sb (PBE-GGA)

Data for crystalline CaSc3Sb at its relaxed geometry.

The space group is Pm-3m (No. 221) and the conventional cell measures 5.468, 5.468 and 5.468 Å, with angles of 90.00, 90.00 and 90.00 degrees. The distinct sites, in fractional coordinates, are Ca at (0.000, 0.000, 0.000), Sc at (0.000, 0.500, 0.500) and Sb at (0.500, 0.500, 0.500).

The energy above the lowest structure with this stoichiometry comes out at 0 kJ/mol of formula units. The calculation puts the raw total energy at -4.97 eV per atom. The density comes out at 3.01 g/cm3. The value obtained for the formation energy (no corrections) is 0.0569 eV per atom.

## Li3MnAu (PBE-GGA)

Data for crystalline Li3MnAu at its relaxed geometry.

The space group is Pm-3m (No. 221) and the conventional cell measures 4.784, 4.784 and 4.784 Å, with angles of 90.00, 90.00 and 90.00 degrees. The distinct sites, in fractional coordinates, are Li at (0.000, 0.000, 0.500), Mn at (0.500, 0.500, 0.500) and Au at (0.000, 0.000, 0.000).

The energy above the lowest structure with this stoichiometry comes out at 0 kJ/mol of formula units. The calculation puts the raw total energy at -3.35 eV per atom. The density comes out at 4.14 g/cm3.

## Ac2BePdO6 (PBE-GGA)

Data for crystalline Ac2BePdO6 at its relaxed geometry.

The space group is C2/m (No. 12) and the conventional cell measures 9.532, 5.572 and 5.645 Å, with angles of 90.00, 126.04 and 90.00 degrees. The distinct sites, in fractional coordinates, are Ac at (0.250, 0.000, 0.250), Be at (0.000, 0.000, 0.500), Pd at (0.000, 0.500, 0.000), O at (0.024, 0.243, 0.767) and O at (0.237, 0.000, 0.691).

The calculation puts the raw total energy at -6.95 eV per atom. The density comes out at 9.11 g/cm3. The value obtained for the formation energy (no corrections) is -2.2610 eV per atom.

## Tb2PrSnN (PBE-GGA)

Data for crystalline Tb2PrSnN at its relaxed geometry.

The space group is P4/mmm (No. 123) and the conventional cell measures 4.834, 4.834 and 5.063 Å, with angles of 90.00, 90.00 and 90.00 degrees. The distinct sites, in fractional coordinates, are Tb at (0.000, 0.500, 0.000), Pr at (0.000, 0.000, 0.500), Sn at (0.500, 0.500, 0.500) and N at (0.000, 0.000, 0.000).

The calculation puts the raw total energy at -6.28 eV per atom. The density comes out at 8.30 g/cm3. The value obtained for the formation energy (no corrections) is -1.0033 eV per atom.

## CdSi2Tc (PBE-GGA)

Data for crystalline CdSi2Tc at its relaxed geometry.

The space group is R-3m (No. 166, hexagonal axes) and the conventional cell measures 3.0475, 3.0475 and 24.8722 Å, with angles of 90.00, 90.00 and 120.00 degrees. The distinct sites, in fractional coordinates, are Cd at (0.0000, 0.0000, 0.0000), Si at (0.0000, 0.0000, 0.2368) and Tc at (0.0000, 0.0000, 0.5000).

The calculation puts the raw total energy at -5.50 eV per atom. The density comes out at 6.64 g/cm3. The value obtained for the formation energy (no corrections) is 0.0274 eV per atom.

## Ba2SrTlNi (PBE-GGA)

Data for crystalline Ba2SrTlNi at its relaxed geometry.

The space group is P4/mmm (No. 123) and the conventional cell measures 5.966, 5.966 and 5.821 Å, with angles of 90.00, 90.00 and 90.00 degrees. The distinct sites, in fractional coordinates, are Ba at (0.000, 0.500, 0.000), Sr at (0.000, 0.000, 0.500), Tl at (0.500, 0.500, 0.500) and Ni at (0.000, 0.000, 0.000).

The energy above the lowest structure with this stoichiometry comes out at 0 kJ/mol of formula units. The calculation puts the raw total energy at -2.79 eV per atom. The density comes out at 5.01 g/cm3.

## Dy3ZrAs4 (PBE-GGA)

Data for crystalline Dy3ZrAs4 at its relaxed geometry.

The space group is Cmmm (No. 65) and the conventional cell measures 8.108, 11.430 and 4.044 Å, with angles of 90.00, 90.00 and 90.00 degrees. The distinct sites, in fractional coordinates, are Dy at (0.000, 0.000, 0.000), Dy at (0.250, 0.250, 0.500), Zr at (0.000, 0.500, 0.000), As at (0.000, 0.255, 0.000) and As at (0.240, 0.500, 0.500).

The calculation puts the raw total energy at -6.55 eV per atom. The density comes out at 7.78 g/cm3.